TbTm4Tl5 | PBE-GGA | optimized geometry

Cell lengths 3.716, 3.716, 19.353 Å; angles 90.00, 90.00, 90.00 degrees
Atoms (fractional coordinates):
Tb  0.000  0.000  0.000
Tm  0.000  0.000  0.203
Tm  0.000  0.000  0.401
Tm  0.000  0.000  0.599
Tm  0.000  0.000  0.797
Tl  0.500  0.500  0.104
Tl  0.500  0.500  0.302
Tl  0.500  0.500  0.500
Tl  0.500  0.500  0.698
Tl  0.500  0.500  0.896

Computed properties:
The total DFT energy (no corrections) comes out at -3.740 eV/atom. The calculation puts the energy of formation at -0.306 eV/atom. The calculation puts the volume at 26.72 Å³ per atom. As for the space group: P4/mmm.